Entry 1:
## Zr2Pd5Au (PBE)

Data for an optimized crystal structure of Zr2Pd5Au.

The density of states at the Fermi level comes out at 5.585 states/eV/f.u. The formation energy comes out at -648 meV per atom. The crystal system is orthorhombic.

Lattice parameters (Å, degrees): 4.004 5.956 11.333 90.00 90.00 90.00
Atoms (fractional coordinates):
1 Zr 0.500 0.234 0.130
2 Pd 0.000 0.489 0.251
3 Zr 0.500 0.266 0.630
4 Pd 0.500 0.256 0.876
5 Pd 0.000 0.011 0.751
6 Au 0.000 0.500 0.000
7 Zr 0.500 0.766 0.870
8 Pd 0.500 0.744 0.124
9 Pd 0.000 0.000 0.000
10 Pd 0.000 0.511 0.749
11 Pd 0.000 0.500 0.500
12 Pd 0.500 0.756 0.624
13 Au 0.000 0.000 0.500
14 Pd 0.000 0.989 0.249
15 Pd 0.500 0.244 0.376
16 Zr 0.500 0.734 0.370

Entry 2:
## MgInSn2Pd (PBE)

Data for an optimized crystal structure of MgInSn2Pd.

The density of states at the Fermi level comes out at 2.913 states/eV/f.u. The formation energy comes out at -103 meV per atom. The crystal system is tetragonal.

Lattice parameters (Å, degrees): 3.967 3.967 14.927 90.00 90.00 90.00
Atoms (fractional coordinates):
1 In 0.500 0.500 0.500
2 Mg 0.000 0.500 0.331
3 In 0.000 0.000 0.500
4 Sn 0.000 0.500 0.118
5 Pd 0.000 0.500 0.939
6 Sn 0.000 0.500 0.754
7 Mg 0.500 0.000 0.669
8 Sn 0.500 0.000 0.882
9 Sn 0.500 0.000 0.246
10 Pd 0.500 0.000 0.061

Entry 3:
## LiNd2DyTe5 (PBE)

Data for an optimized crystal structure of LiNd2DyTe5.

The value obtained for the energy relative to the elements, uncorrected is -1322 meV per atom. The crystal system is orthorhombic.

Lattice parameters (Å, degrees): 4.409 9.640 13.247 90.00 90.00 103.22
Atoms (fractional coordinates):
1 Te 0.638 0.277 0.498
2 Nd 0.106 0.212 0.685
3 Te 0.362 0.723 0.998
4 Te 0.311 0.623 0.345
5 Te 0.502 0.003 0.282
6 Te 0.953 0.905 0.572
7 Te 0.498 0.997 0.782
8 Te 0.689 0.377 0.845
9 Te 0.717 0.434 0.168
10 Nd 0.894 0.788 0.185
11 Te 0.283 0.566 0.668
12 Nd 0.873 0.747 0.802
13 Li 0.558 0.116 0.963
14 Te 0.047 0.095 0.072
15 Dy 0.198 0.396 0.009
16 Li 0.442 0.884 0.463
17 Dy 0.802 0.604 0.509
18 Nd 0.127 0.253 0.302

Entry 4:
## SrLiBi3 (PBE)

Data for an optimized crystal structure of SrLiBi3.

The density of states at the Fermi level comes out at 2.746 states/eV/f.u. The formation energy comes out at -282 meV per atom. The crystal system is cubic. For the excess energy over the best structure of this formula in the dataset, the calculation gives 0.0 meV per atom.

Lattice parameters (Å, degrees): 5.366 5.366 5.366 90.00 90.00 90.00
Atoms (fractional coordinates):
1 Bi 0.000 0.500 0.000
2 Bi 0.000 0.000 0.500
3 Li 0.000 0.000 0.000
4 Bi 0.500 0.000 0.000
5 Sr 0.500 0.500 0.500

Entry 5:
## NaMgPb6 (PBE)

Data for an optimized crystal structure of NaMgPb6.

The density of states at the Fermi level comes out at 4.329 states/eV/f.u. The formation energy comes out at -61 meV per atom. The crystal system is tetragonal.

Lattice parameters (Å, degrees): 4.987 4.987 9.527 90.00 90.00 90.00
Atoms (fractional coordinates):
1 Na 0.000 0.000 0.000
2 Pb 0.000 0.500 0.744
3 Pb 0.000 0.500 0.256
4 Pb 0.500 0.000 0.256
5 Mg 0.000 0.000 0.500
6 Pb 0.500 0.500 0.000
7 Pb 0.500 0.000 0.744
8 Pb 0.500 0.500 0.500

Entry 6:
## ScCdTe2 (PBE)

Data for an optimized crystal structure of ScCdTe2.

The value obtained for the energy relative to the elements, uncorrected is -351 meV per atom. The density of states at the Fermi level comes out at 2.152 states/eV/f.u. The crystal system is orthorhombic.

Lattice parameters (Å, degrees): 3.491 3.491 9.776 90.00 90.00 102.91
Atoms (fractional coordinates):
1 Cd 0.000 0.000 0.520
2 Te 0.000 0.000 0.927
3 Te 0.500 0.500 0.305
4 Sc 0.500 0.500 0.748

Number 1: spin magnetization 0.00 μB/f.u.. Number 2: spin magnetization 0.00 μB/f.u.. Number 3: spin magnetization 0.00 μB/f.u.. Number 4: spin magnetization 0.00 μB/f.u.. Number 5: spin magnetization 0.00 μB/f.u.. Number 6: spin magnetization 0.00 μB/f.u..